MgCoAs2Pd: relaxed, PBE.

ΔE_f in eV/atom: 0.127

CIF file:
```
data_MgCoAs2Pd
_symmetry_space_group_name_H-M 'P 4/m m m'
_symmetry_Int_Tables_number 123
_symmetry_space_group_name_Hall '-P 4 2'
_cell_length_a 4.4247
_cell_length_b 4.4247
_cell_length_c 4.7435
_cell_angle_alpha 90.00
_cell_angle_beta 90.00
_cell_angle_gamma 90.00
loop_
_atom_site_label
_atom_site_type_symbol
_atom_site_fract_x
_atom_site_fract_y
_atom_site_fract_z
Mg1 Mg 0.0000 0.0000 0.0000
Co1 Co 0.0000 0.0000 0.5000
As1 As 0.0000 0.5000 0.5000
Pd1 Pd 0.5000 0.5000 0.0000
```



Tb4AgRu2Au: relaxed, PBE.

ΔE_f in eV/atom: -0.452

CIF file:
```
data_Tb4AgRu2Au
_symmetry_space_group_name_H-M 'R -3 m'
_symmetry_Int_Tables_number 166
_symmetry_space_group_name_Hall '-R 3 2"'
_cell_length_a 4.9745
_cell_length_b 4.9745
_cell_length_c 24.3648
_cell_angle_alpha 90.00
_cell_angle_beta 90.00
_cell_angle_gamma 120.00
loop_
_atom_site_label
_atom_site_type_symbol
_atom_site_fract_x
_atom_site_fract_y
_atom_site_fract_z
Tb1 Tb 0.0000 0.0000 0.1246
Tb2 Tb 0.0000 0.0000 0.3745
Ag1 Ag 0.0000 0.0000 0.5000
Ru1 Ru 0.0000 0.0000 0.2494
Au1 Au 0.0000 0.0000 0.0000
```



K3TbBr6: relaxed, PBE.

E_form (uncorrected) in meV per atom: -1829

CIF file:
```
data_K3TbBr6
_symmetry_space_group_name_H-M 'P 1 21/c 1'
_symmetry_Int_Tables_number 14
_cell_length_a 7.9019
_cell_length_b 8.4335
_cell_length_c 13.6469
_cell_angle_alpha 90.00
_cell_angle_beta 123.90
_cell_angle_gamma 90.00
loop_
_symmetry_equiv_pos_as_xyz
'x,y,z'
'-x,-y,-z'
'-x,y+1/2,-z+1/2'
'x,-y+1/2,z+1/2'
loop_
_atom_site_label
_atom_site_type_symbol
_atom_site_fract_x
_atom_site_fract_y
_atom_site_fract_z
K1 K 0.0000 0.0000 0.0000
K2 K 0.2093 0.0790 0.7408
Tb1 Tb 0.5000 0.0000 0.5000
Br1 Br 0.1547 0.1790 0.4423
Br2 Br 0.2561 0.7218 0.4217
Br3 Br 0.4055 0.0572 0.2705
```



LaTl2InS4: relaxed, PBE.

E_form (uncorrected) in meV per atom: -943

CIF file:
```
data_LaTl2InS4
_symmetry_space_group_name_H-M 'I m m a'
_symmetry_Int_Tables_number 74
_symmetry_space_group_name_Hall '-I 2b 2'
_cell_length_a 8.2316
_cell_length_b 8.7046
_cell_length_c 12.0688
_cell_angle_alpha 90.00
_cell_angle_beta 90.00
_cell_angle_gamma 90.00
loop_
_atom_site_label
_atom_site_type_symbol
_atom_site_fract_x
_atom_site_fract_y
_atom_site_fract_z
La1 La 0.0000 0.0000 0.0000
Tl1 Tl 0.0000 0.0000 0.5000
Tl2 Tl 0.2500 0.2500 0.2500
In1 In 0.2500 0.2500 0.7500
S1 S 0.0000 0.0434 0.7579
S2 S 0.2274 0.2500 0.9806
```



Cs3Nd2Cl9: relaxed, PBE.

E_form (uncorrected) in meV per atom: -2191

CIF file:
```
data_Cs3Nd2Cl9
_symmetry_space_group_name_H-M 'R -3 c'
_symmetry_Int_Tables_number 167
_symmetry_space_group_name_Hall '-R 3 2"c'
_cell_length_a 13.6657
_cell_length_b 13.6657
_cell_length_c 18.8282
_cell_angle_alpha 90.00
_cell_angle_beta 90.00
_cell_angle_gamma 120.00
loop_
_atom_site_label
_atom_site_type_symbol
_atom_site_fract_x
_atom_site_fract_y
_atom_site_fract_z
Cs1 Cs 0.0000 0.3340 0.2500
Nd1 Nd 0.0000 0.0000 0.1448
Cl1 Cl 0.0000 0.1506 0.7500
Cl2 Cl 0.0112 0.1826 0.4138
```



PaBiBr2: relaxed, PBE.

E_form (uncorrected) in meV per atom: -717

CIF file:
```
data_PaBiBr2
_symmetry_space_group_name_H-M 'R -3 m'
_symmetry_Int_Tables_number 166
_symmetry_space_group_name_Hall '-R 3 2"'
_cell_length_a 3.4840
_cell_length_b 3.4840
_cell_length_c 38.8560
_cell_angle_alpha 90.00
_cell_angle_beta 90.00
_cell_angle_gamma 120.00
loop_
_atom_site_label
_atom_site_type_symbol
_atom_site_fract_x
_atom_site_fract_y
_atom_site_fract_z
Pa1 Pa 0.0000 0.0000 0.0000
Bi1 Bi 0.0000 0.0000 0.5000
Br1 Br 0.0000 0.0000 0.3884
```



ZnTcAg: relaxed, PBE.

ΔE_f in eV/atom: 0.788
Energy relative to the lowest polymorph listed for this composition in meV/atom: 557

CIF file:
```
data_ZnTcAg
_symmetry_space_group_name_H-M 'F -4 3 m'
_symmetry_Int_Tables_number 216
_symmetry_space_group_name_Hall 'F -4 2 3'
_cell_length_a 5.9929
_cell_length_b 5.9929
_cell_length_c 5.9929
_cell_angle_alpha 90.00
_cell_angle_beta 90.00
_cell_angle_gamma 90.00
loop_
_atom_site_label
_atom_site_type_symbol
_atom_site_fract_x
_atom_site_fract_y
_atom_site_fract_z
Zn1 Zn 0.0000 0.0000 0.0000
Tc1 Tc 0.2500 0.2500 0.2500
Ag1 Ag 0.2500 0.2500 0.7500
```



UCuPt: relaxed, PBE.

ΔE_f in eV/atom: -0.093

CIF file:
```
data_UCuPt
_symmetry_space_group_name_H-M 'C 1 2/m 1'
_symmetry_Int_Tables_number 12
_cell_length_a 4.9505
_cell_length_b 4.7856
_cell_length_c 8.5640
_cell_angle_alpha 90.00
_cell_angle_beta 92.76
_cell_angle_gamma 90.00
loop_
_symmetry_equiv_pos_as_xyz
'x,y,z'
'-x,-y,-z'
'-x,y,-z'
'x,-y,z'
'x+1/2,y+1/2,z'
'-x+1/2,-y+1/2,-z'
'-x+1/2,y+1/2,-z'
'x+1/2,-y+1/2,z'
loop_
_atom_site_label
_atom_site_type_symbol
_atom_site_fract_x
_atom_site_fract_y
_atom_site_fract_z
U1 U 0.2087 0.0000 0.0887
Cu1 Cu 0.2214 0.5000 0.2785
Pt1 Pt 0.2388 0.0000 0.4073
```



DOS at the Fermi energy, respectively: 2.9, 4.4, 0.0, 0.2, 0.0, 4.4, 1.6, 4.1 states/eV/f.u..